First-principles (GGA-PBE) data for a relaxed ReRu2Pb crystal, as listed in Alexandria via LeMat-Bulk. Values from VASP.

```
&SYSTEM
  ibrav = 0, nat = 4, ntyp = 3
/
ATOMIC_SPECIES
Pb 207.20 Pb.upf
Re 186.21 Re.upf
Ru 101.07 Ru.upf
CELL_PARAMETERS angstrom
-0.342 -4.993 0.542
4.411 -2.345 -0.625
-1.511 3.929 2.761
ATOMIC_POSITIONS angstrom
Pb 2.035 -3.669 -0.041
Re 0.091 -2.367 1.631
Ru 0.000 0.000 0.000
Ru 2.467 -1.043 1.047
```

Results
uncorrected energy = -32.04 eV for the cell shown
space-group type = No. 119
density of states at the Fermi level = 5.10 states/eV/cell

---

First-principles (GGA-PBE) data for a relaxed Sr5N2Cl5 crystal, as listed in Alexandria via LeMat-Bulk. Values from VASP.

```
&SYSTEM
  ibrav = 0, nat = 12, ntyp = 3
/
ATOMIC_SPECIES
Sr 87.62 Sr.upf
N 14.01 N.upf
Cl 35.45 Cl.upf
CELL_PARAMETERS angstrom
4.090 0.000 0.000
-2.045 6.869 0.096
0.000 -3.124 11.089
ATOMIC_POSITIONS angstrom
Sr 0.000 0.229 4.107
Sr 2.045 -0.528 8.979
Sr 0.000 4.273 2.205
Sr 2.045 3.516 7.077
Sr 0.000 0.000 0.000
N 0.000 -1.980 8.917
N 2.045 5.725 2.267
Cl 2.045 -1.562 5.544
Cl 2.045 2.036 0.801
Cl 2.045 2.392 4.140
Cl 0.000 1.353 7.044
Cl 0.000 1.709 10.383
```

Results
formation energy without anion corrections = -20.25 eV/f.u.
space-group type = No. 12
density of states at the Fermi level = 1.00 states/eV/cell

---

First-principles (GGA-PBE) data for a relaxed K2DyErTe4 crystal, as listed in Alexandria via LeMat-Bulk. Values from VASP.

```
&SYSTEM
  ibrav = 0, nat = 8, ntyp = 4
/
ATOMIC_SPECIES
K 39.10 K.upf
Dy 162.50 Dy.upf
Er 167.26 Er.upf
Te 127.60 Te.upf
CELL_PARAMETERS angstrom
-1.737 -1.587 3.814
-3.460 -5.711 -3.952
7.800 -2.850 2.365
ATOMIC_POSITIONS angstrom
K 3.032 -2.219 3.090
K 2.170 -4.281 -0.794
Dy -2.598 -3.649 -0.069
Er 0.000 0.000 0.000
Te -0.061 -2.722 1.472
Te 2.665 -7.428 0.755
Te 5.269 -3.757 0.836
Te -0.929 -4.805 -2.423
```

Results
formation energy without anion corrections = -11.11 eV/f.u.
space-group type = No. 10

---

First-principles (GGA-PBE) data for a relaxed DyTm3Te3 crystal, as listed in Alexandria via LeMat-Bulk. Values from VASP.

```
&SYSTEM
  ibrav = 0, nat = 14, ntyp = 3
/
ATOMIC_SPECIES
Dy 162.50 Dy.upf
Tm 168.93 Tm.upf
Te 127.60 Te.upf
CELL_PARAMETERS angstrom
7.060 0.000 0.000
3.530 6.114 0.000
3.530 2.038 10.270
ATOMIC_POSITIONS angstrom
Dy 3.530 2.038 0.010
Dy 10.590 6.114 10.260
Tm 8.289 6.055 6.492
Tm 8.159 2.022 6.492
Tm 4.732 4.151 6.492
Tm 9.388 4.001 3.778
Tm 5.961 6.130 3.778
Tm 5.831 2.097 3.778
Te 4.660 4.174 1.839
Te 8.175 1.949 1.839
Te 8.345 6.105 1.839
Te 5.775 2.047 8.430
Te 5.945 6.203 8.430
Te 9.460 3.978 8.430
```

Results
formation energy without anion corrections = -6.32 eV/f.u.
space-group type = No. 148
density of states at the Fermi level = 12.97 states/eV/cell

---

First-principles (GGA-PBE) data for a relaxed CrPWCl2 crystal, as listed in Alexandria via LeMat-Bulk. Values from VASP.

```
&SYSTEM
  ibrav = 0, nat = 5, ntyp = 4
/
ATOMIC_SPECIES
Cr 52.00 Cr.upf
P 30.97 P.upf
W 183.84 W.upf
Cl 35.45 Cl.upf
CELL_PARAMETERS angstrom
4.476 0.000 0.000
0.000 4.476 0.000
0.000 0.000 5.203
ATOMIC_POSITIONS angstrom
Cr 0.000 0.000 0.000
P 0.000 0.000 2.601
W 2.238 2.238 2.601
Cl 0.000 2.238 0.000
Cl 2.238 0.000 0.000
```

Results
relative energy among the computed polymorphs = 34.0 kJ per mole of atoms
formation energy without anion corrections = 4.38 eV/f.u.
space-group type = No. 123
density of states at the Fermi level = 4.91 states/eV/cell

---

First-principles (GGA-PBE) data for a relaxed Cs2NaRe crystal, as listed in Alexandria via LeMat-Bulk. Values from VASP.

```
&SYSTEM
  ibrav = 0, nat = 8, ntyp = 3
/
ATOMIC_SPECIES
Cs 132.91 Cs.upf
Re 186.21 Re.upf
Na 22.99 Na.upf
CELL_PARAMETERS angstrom
9.145 0.000 0.000
0.000 9.145 0.000
4.572 4.572 6.533
ATOMIC_POSITIONS angstrom
Cs 9.127 2.286 1.633
Cs 9.163 6.859 1.633
Cs 6.859 4.590 4.900
Cs 11.431 4.555 4.900
Re 0.000 0.000 0.000
Re 9.145 4.572 3.266
Na 4.572 4.572 0.000
Na 4.572 9.145 3.266
```

Results
uncorrected energy = -15.31 eV for the cell shown
space-group type = No. 122
density of states at the Fermi level = 12.96 states/eV/cell

---

First-principles (GGA-PBE) data for a relaxed Na3Er2MnS6 crystal, as listed in Alexandria via LeMat-Bulk. Values from VASP.

```
&SYSTEM
  ibrav = 0, nat = 12, ntyp = 4
/
ATOMIC_SPECIES
Na 22.99 Na.upf
Er 167.26 Er.upf
Mn 54.94 Mn.upf
S 32.06 S.upf
CELL_PARAMETERS angstrom
-5.954 -1.761 -2.461
5.631 -2.348 -2.718
-0.066 -3.866 5.848
ATOMIC_POSITIONS angstrom
Na 3.654 -4.182 0.250
Na -4.043 -3.793 0.420
Na -0.195 -3.988 0.335
Er 1.795 -2.153 -2.633
Er -2.118 -1.955 -2.546
Mn 0.000 0.000 0.000
S -2.140 -6.048 0.620
S -0.261 -3.955 -2.762
S 1.751 -1.927 0.049
S 1.544 -6.235 0.539
S -0.128 -4.020 3.431
S -1.933 -1.740 0.130
```

Results
formation energy without anion corrections = -17.57 eV/f.u.
space-group type = No. 12
density of states at the Fermi level = 3.24 states/eV/cell

---

First-principles (GGA-PBE) data for a relaxed K2AsOs crystal, as listed in Alexandria via LeMat-Bulk. Values from VASP.

```
&SYSTEM
  ibrav = 0, nat = 4, ntyp = 3
/
ATOMIC_SPECIES
As 74.92 As.upf
K 39.10 K.upf
Os 190.23 Os.upf
CELL_PARAMETERS angstrom
-0.959 -2.330 -1.272
-0.888 -0.994 2.489
-9.686 4.822 -1.529
ATOMIC_POSITIONS angstrom
As -8.188 1.954 -0.539
K -9.639 4.798 -1.522
K -4.891 2.434 -0.772
Os -3.345 -0.457 0.226
```

Results
uncorrected energy = -15.00 eV for the cell shown
space-group type = No. 123
density of states at the Fermi level = 2.55 states/eV/cell

---

First-principles (GGA-PBE) data for a relaxed EuCuSF crystal, as listed in Alexandria via LeMat-Bulk. Values from VASP.

```
&SYSTEM
  ibrav = 0, nat = 8, ntyp = 4
/
ATOMIC_SPECIES
Eu 151.96 Eu.upf
Cu 63.55 Cu.upf
S 32.06 S.upf
F 19.00 F.upf
CELL_PARAMETERS angstrom
3.919 0.000 0.000
0.000 3.919 0.000
0.000 0.000 8.636
ATOMIC_POSITIONS angstrom
Eu 0.000 1.959 2.793
Eu 1.959 0.000 5.844
Cu 1.959 1.959 0.000
Cu 0.000 0.000 0.000
S 1.959 0.000 1.427
S 0.000 1.959 7.209
F 1.959 1.959 4.318
F 0.000 0.000 4.318
```

Results
formation energy without anion corrections = -8.08 eV/f.u.
space-group type = No. 129
density of states at the Fermi level = 23.72 states/eV/cell

---

First-principles (GGA-PBE) data for a relaxed SmEu3Pt crystal, as listed in Alexandria via LeMat-Bulk. Values from VASP.

```
&SYSTEM
  ibrav = 0, nat = 5, ntyp = 3
/
ATOMIC_SPECIES
Eu 151.96 Eu.upf
Sm 150.36 Sm.upf
Pt 195.08 Pt.upf
CELL_PARAMETERS angstrom
-4.483 -3.565 0.146
3.558 -4.450 0.604
-0.263 0.563 5.696
ATOMIC_POSITIONS angstrom
Eu 1.779 -2.225 0.302
Eu -0.131 0.282 2.848
Eu -2.242 -1.783 0.073
Sm -0.594 -3.726 3.223
Pt 0.000 0.000 0.000
```

Results
uncorrected energy = -42.99 eV for the cell shown
space-group type = No. 221
density of states at the Fermi level = 17.65 states/eV/cell

---

First-principles (GGA-PBE) data for a relaxed Pr4TlN2 crystal, as listed in Alexandria via LeMat-Bulk. Values from VASP.

```
&SYSTEM
  ibrav = 0, nat = 7, ntyp = 3
/
ATOMIC_SPECIES
Pr 140.91 Pr.upf
Tl 204.38 Tl.upf
N 14.01 N.upf
CELL_PARAMETERS angstrom
-2.316 -1.536 -2.433
1.181 -0.841 -3.397
3.610 -14.303 2.787
ATOMIC_POSITIONS angstrom
Pr 2.117 -9.245 1.016
Pr 0.363 -3.305 -1.064
Pr 2.111 -13.374 -1.980
Pr 0.358 -7.434 -4.060
Tl 0.000 0.000 0.000
N 2.106 -11.283 -0.491
N 0.368 -5.396 -2.552
```

Results
formation energy without anion corrections = -5.64 eV/f.u.
space-group type = No. 166
density of states at the Fermi level = 7.57 states/eV/cell

---

First-principles (GGA-PBE) data for a relaxed AlZnTe2 crystal, as listed in Alexandria via LeMat-Bulk. Values from VASP.

```
&SYSTEM
  ibrav = 0, nat = 4, ntyp = 3
/
ATOMIC_SPECIES
Zn 65.41 Zn.upf
Te 127.60 Te.upf
Al 26.98 Al.upf
CELL_PARAMETERS angstrom
-4.654 0.185 0.938
2.776 -3.576 -1.440
1.426 -1.892 7.446
ATOMIC_POSITIONS angstrom
Zn -0.582 -2.168 1.611
Te 1.421 -1.885 7.418
Te 0.718 -0.953 3.751
Al 0.131 -3.114 5.334
```

Results
relative energy among the computed polymorphs = 24.8 kJ per mole of atoms
formation energy without anion corrections = 0.00 eV/f.u.
space-group type = No. 65
density of states at the Fermi level = 0.99 states/eV/cell

---

First-principles (GGA-PBE) data for a relaxed YTc3Ir crystal, as listed in Alexandria via LeMat-Bulk. Values from VASP.

```
&SYSTEM
  ibrav = 0, nat = 5, ntyp = 3
/
ATOMIC_SPECIES
Y 88.91 Y.upf
Ir 192.22 Ir.upf
Tc 98.00 Tc.upf
CELL_PARAMETERS angstrom
-3.345 2.997 -1.519
0.814 -1.358 -4.469
-3.261 -3.414 0.443
ATOMIC_POSITIONS angstrom
Y -2.896 -0.887 -2.773
Ir 0.000 0.000 0.000
Tc 0.407 -0.679 -2.235
Tc -1.630 -1.707 0.222
Tc -1.672 1.499 -0.760
```

Results
relative energy among the computed polymorphs = 0.0 kJ per mole of atoms
space-group type = No. 221
density of states at the Fermi level = 6.36 states/eV/cell

---

First-principles (GGA-PBE) data for a relaxed ZnAgAs4 crystal, as listed in Alexandria via LeMat-Bulk. Values from VASP.

```
&SYSTEM
  ibrav = 0, nat = 6, ntyp = 3
/
ATOMIC_SPECIES
Zn 65.41 Zn.upf
Ag 107.87 Ag.upf
As 74.92 As.upf
CELL_PARAMETERS angstrom
-5.421 0.275 1.256
-3.428 3.093 -3.117
-3.752 -2.466 -3.298
ATOMIC_POSITIONS angstrom
Zn -9.451 0.677 -3.869
Ag 0.000 0.000 0.000
As -6.439 1.878 -3.489
As -7.430 0.476 -1.313
As -6.600 -0.888 -3.579
As -4.733 0.339 -1.938
```

Results
uncorrected energy = -20.26 eV for the cell shown
space-group type = No. 216
density of states at the Fermi level = 2.75 states/eV/cell